# PBE-GGA PmU2S6, relaxed
data_PmU2S6
_chemical_formula_sum 'Pm2 U4 S12'
_cell_length_a 13.505
_cell_length_b 5.134
_cell_length_c 8.929
_cell_angle_alpha 90.00
_cell_angle_beta 126.59
_cell_angle_gamma 90.00
_symmetry_space_group_name_H-M 'C 1 2/m 1'
_symmetry_Int_Tables_number 12
_symmetry_space_group_name_Hall '-C 2y'
loop_
_atom_site_label
_atom_site_fract_x
_atom_site_fract_y
_atom_site_fract_z
Pm1 0.000 0.000 0.000
U1 0.182 0.000 0.606
S1 0.037 0.000 0.716
S2 0.134 0.500 0.060
S3 0.241 0.500 0.619
# Electronic total energy: -7.21 eV per atom
# Uncorrected formation energy: -1422.6 meV per atom